# 1
Material: Th6TeAs3Se2
Method: DFT, PBE
State: optimized geometry

Cell lengths 4.2878, 8.5374, 9.5688 Å; angles 103.05, 102.95, 90.00 degrees
Last column: nearest neighbours and their distance in Å.
Element x y z (fractional)
Th  0.6650  0.5873  0.3301  3 As 2.99-3.00, 3 Se 3.03-3.06
Th  0.3255  0.9174  0.6509  3 As 2.95-3.00, 2 Se 3.05, 1 Te 3.17
Th  0.9996  0.7308  0.9991  3 As 2.91-2.97, 1 Se 3.05, 2 Te 3.14
Th  0.6745  0.0826  0.3491  3 As 2.95-3.00, 2 Se 3.05, 1 Te 3.17
Th  0.3350  0.4127  0.6699  3 As 2.99-3.00, 3 Se 3.03-3.06
Th  0.0004  0.2692  0.0009  3 As 2.91-2.97, 1 Se 3.05, 2 Te 3.14
Te  0.5000  0.0000  0.0000  6 Th 3.14-3.17
Se  0.8319  0.6662  0.6638  6 Th 3.03-3.06
Se  0.1681  0.3338  0.3362  6 Th 3.03-3.06
As  0.1630  0.8320  0.3259  6 Th 2.95-3.00
As  0.5000  0.5000  0.0000  6 Th 2.91-2.99
As  0.8370  0.1680  0.6741  6 Th 2.95-3.00

Values from the calculation:
* ΔE_f (raw): -1.39 eV/atom
* space group: C2/m, No. 12
* M_tot: 0.00 μB/cell

---

# 2
Material: BeCu2Ir
Method: DFT, PBE
State: optimized geometry

Cell lengths 4.4651, 4.4651, 4.2701 Å; angles 69.57, 69.57, 36.63 degrees
Last column: nearest neighbours and their distance in Å.
Element x y z (fractional)
Cu  0.7422  0.7422  0.7841  3 Cu 2.45-2.48, 4 Be 2.46-2.66, 2 Ir 2.67
Cu  0.9825  0.9825  0.9726  2 Be 2.38, 3 Cu 2.45-2.48, 4 Ir 2.56-2.59
Be  0.2556  0.2556  0.3024  3 Ir 2.33-2.52, 4 Cu 2.38-2.46
Ir  0.5197  0.5197  0.4409  3 Be 2.33-2.52, 4 Cu 2.56-2.59

Values from the calculation:
* space group: Cm, No. 8
* formation enthalpy at 0 K: -72.8 meV/atom
* M_tot: 0.00 μB/cell

---

# 3
Material: Rb2NpCu3Cl12
Method: DFT, PBE
State: optimized geometry

Cell lengths 10.5464, 10.5464, 10.5464 Å; angles 47.68, 47.68, 47.68 degrees
Last column: nearest neighbours and their distance in Å.
Element x y z (fractional)
Cl  0.9197  0.3152  0.3152  2 Cu 2.30
Cl  0.3152  0.3152  0.9197  2 Cu 2.30
Cl  0.0899  0.0899  0.6653  1 Np 2.54
Cl  0.3347  0.9101  0.9101  1 Np 2.54
Cl  0.0803  0.6848  0.6848  2 Cu 2.30
Cl  0.6848  0.6848  0.0803  2 Cu 2.30
Cl  0.6653  0.0899  0.0899  1 Np 2.54
Cl  0.9101  0.9101  0.3347  1 Np 2.54
Cl  0.6848  0.0803  0.6848  2 Cu 2.30
Cl  0.0899  0.6653  0.0899  1 Np 2.54
Cl  0.3152  0.9197  0.3152  2 Cu 2.30
Cl  0.9101  0.3347  0.9101  1 Np 2.54
Np  0.0000  0.0000  0.0000  6 Cl 2.54
Cu  0.0000  0.0000  0.5000  4 Cl 2.30
Cu  0.0000  0.5000  0.0000  4 Cl 2.30
Cu  0.5000  0.0000  0.0000  4 Cl 2.30
Rb  0.5796  0.5796  0.5796  3 Cl 3.46
Rb  0.4204  0.4204  0.4204  3 Cl 3.46

Values from the calculation:
* ΔE_f (raw): -1.14 eV/atom
* space group: R-3m, No. 166
* M_tot: 2.13 μB/cell

---

# 4
Material: Tl2CrSe
Method: DFT, PBE
State: optimized geometry

Cell lengths 5.1734, 5.1734, 5.1734 Å; angles 60.00, 60.00, 60.00 degrees
Last column: nearest neighbours and their distance in Å.
Element x y z (fractional)
Se  0.5000  0.5000  0.5000  8 Tl 3.17
Tl  0.7500  0.7500  0.7500  4 Cr 3.17, 4 Se 3.17
Tl  0.2500  0.2500  0.2500  4 Cr 3.17, 4 Se 3.17
Cr  0.0000  0.0000  0.0000  8 Tl 3.17

Values from the calculation:
* ΔE_f (raw): 0.98 eV/atom
* space group: Fm-3m, No. 225
* M_tot: 0.70 μB/cell

---

# 5
Material: AcLaNd5
Method: DFT, PBE
State: optimized geometry

Cell lengths 6.8426, 6.8426, 12.3796 Å; angles 105.89, 105.89, 97.21 degrees
Last column: nearest neighbours and their distance in Å.
Element x y z (fractional)
Nd  0.1673  0.8327  0.2500  6 Nd 3.41-3.76, 1 La 3.51, 2 Ac 3.54
Nd  0.0290  0.3854  0.3341  4 Nd 3.45-3.78, 2 La 3.64-3.75, 1 Ac 3.78
Nd  0.3854  0.0290  0.8341  4 Nd 3.45-3.78, 2 La 3.64-3.75, 1 Ac 3.78
Nd  0.6146  0.9710  0.1659  4 Nd 3.45-3.78, 2 La 3.64-3.75, 1 Ac 3.78
Nd  0.8327  0.1673  0.7500  6 Nd 3.41-3.76, 1 La 3.51, 2 Ac 3.54
Nd  0.5339  0.2385  0.4645  6 Nd 3.41-3.78, 2 La 3.52-3.62, 1 Ac 3.74
Nd  0.9710  0.6146  0.6659  4 Nd 3.45-3.78, 2 La 3.64-3.75, 1 Ac 3.78
Nd  0.2385  0.5339  0.9645  6 Nd 3.41-3.78, 2 La 3.52-3.62, 1 Ac 3.74
Nd  0.4661  0.7615  0.5355  6 Nd 3.41-3.78, 2 La 3.52-3.62, 1 Ac 3.74
Nd  0.7615  0.4661  0.0355  6 Nd 3.41-3.78, 2 La 3.52-3.62, 1 Ac 3.74
Ac  0.0000  0.0000  0.5000  6 Nd 3.54-3.78
Ac  0.0000  0.0000  0.0000  6 Nd 3.54-3.78
La  0.5092  0.4908  0.2500  9 Nd 3.51-3.75
La  0.4908  0.5092  0.7500  9 Nd 3.51-3.75

Values from the calculation:
* space group: C2/c, No. 15
* formation enthalpy at 0 K: 81.2 meV/atom
* M_tot: 0.00 μB/cell

---

# 6
Material: BeH4Pd6
Method: DFT, PBE
State: optimized geometry

Cell lengths 2.9764, 5.1188, 15.1034 Å; angles 90.00, 90.00, 107.03 degrees
Last column: nearest neighbours and their distance in Å.
Element x y z (fractional)
Pd  0.2345  0.4420  0.9144  4 H 1.89-2.12
Pd  0.5000  0.0000  0.0000  2 H 1.92
Pd  0.7655  0.5579  0.0856  4 H 1.89-2.12
Pd  0.9545  0.8874  0.8428  1 H 1.92
Pd  0.2345  0.4420  0.5856  4 H 1.89-2.12
Pd  0.0455  0.1126  0.3428  1 H 1.92
Pd  0.7655  0.5579  0.4144  4 H 1.89-2.12
Pd  0.6630  0.3057  0.7500  2 H 1.95
Pd  0.5000  0.0000  0.5000  2 H 1.92
Pd  0.3370  0.6943  0.2500  2 H 1.95
Pd  0.0455  0.1126  0.1572  1 H 1.92
Pd  0.9545  0.8874  0.6572  1 H 1.92
H  0.6148  0.2248  0.8762  3 Pd 1.89-1.95
H  0.3852  0.7752  0.1238  3 Pd 1.89-1.95
H  0.6148  0.2248  0.6238  3 Pd 1.89-1.95
H  0.2203  0.2703  0.0421  4 Pd 1.92-2.12
H  0.2203  0.2703  0.4579  4 Pd 1.92-2.12
H  0.7797  0.7297  0.9579  4 Pd 1.92-2.12
H  0.7797  0.7297  0.5421  4 Pd 1.92-2.12
H  0.3852  0.7752  0.3762  3 Pd 1.89-1.95
Be  0.6556  0.3345  0.2500  6 Pd 2.31-2.32
Be  0.3444  0.6655  0.7500  6 Pd 2.31-2.32

Values from the calculation:
* space group: P2_1/m, No. 11
* M_tot: 0.00 μB/cell

---

no.,raw total energy (eV/cell)
1,-85.307
2,-21.071
3,-69.879
4,-13.935
5,-64.613
6,-100.567